Entry 1:
# K2NaP2S6 (PBE, optimized geometry)
# Formation energy without anion corrections   -0.701 eV/atom
# Space group   R-3m (166)
data_K2NaP2S6
_cell_length_a 6.841
_cell_length_b 6.841
_cell_length_c 8.585
_cell_angle_alpha 66.52
_cell_angle_beta 66.52
_cell_angle_gamma 60.00
_symmetry_space_group_name_H-M 'P 1'
_symmetry_Int_Tables_number 1
_symmetry_space_group_name_Hall 'P 1'
loop_
_atom_site_label
_atom_site_fract_x
_atom_site_fract_y
_atom_site_fract_z
K1 0.784 0.784 0.647
S1 0.242 0.737 0.283
K2 0.216 0.216 0.353
P1 0.450 0.450 0.649
S2 0.758 0.263 0.717
S3 0.263 0.263 0.717
S4 0.263 0.758 0.717
S5 0.737 0.737 0.283
S6 0.737 0.242 0.283
P2 0.550 0.550 0.351
Na1 0.000 0.000 0.000

Entry 2:
# K2NaPS4 (PBE, optimized geometry)
# Formation energy without anion corrections   -0.504 eV/atom
# Space group   C2/c (15)
data_K2NaPS4
_cell_length_a 7.930
_cell_length_b 7.930
_cell_length_c 8.456
_cell_angle_alpha 111.71
_cell_angle_beta 111.71
_cell_angle_gamma 90.22
_symmetry_space_group_name_H-M 'P 1'
_symmetry_Int_Tables_number 1
_symmetry_space_group_name_Hall 'P 1'
loop_
_atom_site_label
_atom_site_fract_x
_atom_site_fract_y
_atom_site_fract_z
P1 0.000 0.000 0.000
S1 0.669 0.651 0.425
S2 0.720 0.351 0.573
P2 0.500 0.500 0.500
S3 0.849 0.831 0.075
S4 0.151 0.169 0.925
K1 0.500 0.500 0.000
Na1 0.000 0.500 0.000
S5 0.851 0.220 0.073
K2 0.500 0.000 0.000
S6 0.331 0.349 0.575
S7 0.280 0.649 0.427
S8 0.149 0.780 0.927
K3 0.500 0.000 0.500
K4 0.000 0.000 0.500
Na2 0.000 0.500 0.500

Entry 3:
# K2NaPSe4 (PBE, optimized geometry)
# Formation energy without anion corrections   -0.460 eV/atom
# Space group   C2/c (15)
data_K2NaPSe4
_cell_length_a 8.104
_cell_length_b 8.104
_cell_length_c 7.647
_cell_angle_alpha 96.62
_cell_angle_beta 96.62
_cell_angle_gamma 92.68
_symmetry_space_group_name_H-M 'P 1'
_symmetry_Int_Tables_number 1
_symmetry_space_group_name_Hall 'P 1'
loop_
_atom_site_label
_atom_site_fract_x
_atom_site_fract_y
_atom_site_fract_z
K1 0.500 0.000 0.000
Se1 0.174 0.204 0.894
K2 0.000 0.000 0.500
Se2 0.144 0.785 0.847
K3 0.500 0.000 0.500
Se3 0.296 0.326 0.606
P1 0.000 0.000 0.000
Na1 0.000 0.500 0.000
Se4 0.285 0.644 0.347
Se5 0.826 0.796 0.106
P2 0.500 0.500 0.500
Se6 0.715 0.356 0.653
K4 0.500 0.500 0.000
Se7 0.856 0.215 0.153
Se8 0.704 0.674 0.394
Na2 0.000 0.500 0.500

Entry 4:
# KNaPSe4 (PBE, optimized geometry)
# Formation energy without anion corrections   -0.580 eV/atom
# Space group   P2_1/m (11)
data_KNaPSe4
_cell_length_a 7.577
_cell_length_b 6.067
_cell_length_c 9.526
_cell_angle_alpha 90.00
_cell_angle_beta 103.74
_cell_angle_gamma 90.00
_symmetry_space_group_name_H-M 'P 1'
_symmetry_Int_Tables_number 1
_symmetry_space_group_name_Hall 'P 1'
loop_
_atom_site_label
_atom_site_fract_x
_atom_site_fract_y
_atom_site_fract_z
Na1 0.732 0.750 0.437
Se1 0.372 0.750 0.551
Na2 0.268 0.250 0.563
Se2 0.992 0.507 0.729
Se3 0.628 0.250 0.449
Se4 0.008 0.493 0.271
P1 0.233 0.750 0.324
K1 0.761 0.750 0.959
Se5 0.008 0.007 0.271
K2 0.239 0.250 0.041
Se6 0.410 0.750 0.171
Se7 0.590 0.250 0.829
P2 0.767 0.250 0.676
Se8 0.992 0.993 0.729

Entry 5:
# KNaP2Se (PBE, optimized geometry)
# Formation energy without anion corrections   0.209 eV/atom
# Space group   P4/mmm (123)
data_KNaP2Se
_cell_length_a 5.112
_cell_length_b 5.201
_cell_length_c 5.112
_cell_angle_alpha 90.00
_cell_angle_beta 90.00
_cell_angle_gamma 90.00
_symmetry_space_group_name_H-M 'P 1'
_symmetry_Int_Tables_number 1
_symmetry_space_group_name_Hall 'P 1'
loop_
_atom_site_label
_atom_site_fract_x
_atom_site_fract_y
_atom_site_fract_z
Se1 0.000 0.000 0.000
Na1 0.000 0.500 0.000
P1 0.000 0.000 0.500
K1 0.500 0.500 0.500
P2 0.500 0.000 0.000

Entry 6:
# K2Na3SiP3 (PBE, optimized geometry)
# Formation energy without anion corrections   -0.427 eV/atom
# Space group   Pnma (62)
data_K2Na3SiP3
_cell_length_a 4.781
_cell_length_b 13.252
_cell_length_c 14.694
_cell_angle_alpha 90.00
_cell_angle_beta 90.00
_cell_angle_gamma 90.00
_symmetry_space_group_name_H-M 'P 1'
_symmetry_Int_Tables_number 1
_symmetry_space_group_name_Hall 'P 1'
loop_
_atom_site_label
_atom_site_fract_x
_atom_site_fract_y
_atom_site_fract_z
Na1 0.250 0.265 0.756
P1 0.250 0.434 0.358
K1 0.750 0.641 0.992
P2 0.250 0.783 0.890
P3 0.250 0.891 0.650
K2 0.250 0.942 0.301
K3 0.250 0.558 0.801
Na2 0.250 0.821 0.087
Na3 0.750 0.928 0.942
K4 0.750 0.442 0.199
P4 0.250 0.066 0.858
Na4 0.750 0.765 0.744
P5 0.250 0.717 0.390
Na5 0.750 0.321 0.413
K5 0.250 0.359 0.008
Na6 0.750 0.179 0.913
Na7 0.750 0.572 0.442
Si1 0.250 0.913 0.798
Na8 0.250 0.679 0.587
K6 0.750 0.859 0.492
K7 0.750 0.058 0.699
P6 0.750 0.217 0.110
Si2 0.750 0.413 0.702
Na9 0.250 0.072 0.058
P7 0.750 0.566 0.642
Si3 0.750 0.087 0.202
K8 0.250 0.141 0.508
P8 0.750 0.283 0.610
Na10 0.250 0.428 0.558
P9 0.750 0.391 0.850
P10 0.750 0.109 0.350
Si4 0.250 0.587 0.298
P11 0.250 0.609 0.150
Na11 0.250 0.235 0.256
Na12 0.750 0.735 0.244
P12 0.750 0.934 0.142

Entry 7:
# K3Na2SnP3 (PBE, optimized geometry)
# Formation energy from the elements   -403 meV/atom
# Space group   Cmce (64)
data_K3Na2SnP3
_cell_length_a 10.578
_cell_length_b 10.578
_cell_length_c 15.123
_cell_angle_alpha 90.00
_cell_angle_beta 90.00
_cell_angle_gamma 143.07
_symmetry_space_group_name_H-M 'P 1'
_symmetry_Int_Tables_number 1
_symmetry_space_group_name_Hall 'P 1'
loop_
_atom_site_label
_atom_site_fract_x
_atom_site_fract_y
_atom_site_fract_z
K1 0.897 0.563 0.323
K2 0.759 0.759 0.180
Sn1 0.912 0.088 0.500
K3 0.603 0.937 0.823
Sn2 0.412 0.588 0.000
Na1 0.419 0.581 0.500
K4 0.741 0.741 0.680
P1 0.122 0.438 0.896
P2 0.297 0.297 0.093
P3 0.062 0.378 0.396
P4 0.703 0.703 0.907
K5 0.063 0.397 0.177
K6 0.397 0.063 0.177
P5 0.562 0.878 0.104
P6 0.622 0.938 0.604
P7 0.378 0.062 0.396
Na2 0.081 0.919 0.000
P8 0.438 0.122 0.896
K7 0.937 0.603 0.823
K8 0.241 0.241 0.820
K9 0.563 0.897 0.323
K10 0.103 0.437 0.677
P9 0.797 0.797 0.407
Na3 0.919 0.081 0.000
Sn3 0.588 0.412 0.000
Na4 0.581 0.419 0.500
P10 0.203 0.203 0.593
P11 0.878 0.562 0.104
Na5 0.745 0.255 0.500
Na6 0.255 0.745 0.500
K11 0.259 0.259 0.320
Na7 0.755 0.245 0.000
Sn4 0.088 0.912 0.500
K12 0.437 0.103 0.677
Na8 0.245 0.755 0.000
P12 0.938 0.622 0.604

Entry 8:
# KNaSnP2 (PBE, optimized geometry)
# Formation energy from the elements   -254 meV/atom
# Space group   C2/m (12)
data_KNaSnP2
_cell_length_a 4.254
_cell_length_b 7.896
_cell_length_c 9.519
_cell_angle_alpha 98.09
_cell_angle_beta 90.00
_cell_angle_gamma 105.63
_symmetry_space_group_name_H-M 'P 1'
_symmetry_Int_Tables_number 1
_symmetry_space_group_name_Hall 'P 1'
loop_
_atom_site_label
_atom_site_fract_x
_atom_site_fract_y
_atom_site_fract_z
Sn1 0.051 0.103 0.171
K1 0.617 0.235 0.664
P1 0.887 0.773 0.070
P2 0.605 0.210 0.320
Sn2 0.949 0.897 0.829
Na1 0.301 0.602 0.913
Na2 0.699 0.398 0.087
K2 0.383 0.765 0.336
P3 0.113 0.227 0.930
P4 0.395 0.790 0.680

Number 1: total magnetic moment 0.00 μB per formula unit. Number 2: total magnetic moment 0.00 μB per formula unit. Number 3: total magnetic moment 0.00 μB per formula unit. Number 4: total magnetic moment 0.00 μB per formula unit. Number 5: total magnetic moment 0.00 μB per formula unit. Number 6: total magnetic moment 0.00 μB per formula unit. Number 7: total magnetic moment 0.00 μB per formula unit. Number 8: total magnetic moment 0.00 μB per formula unit.